# 1
Material: Ag2Pb2Cl
Method: DFT, PBE-GGA
State: relaxed

ΔE to the lowest computed polymorph = 0 meV per atom
E_form (uncorrected) = -93.6 meV per atom
Symmetry = No. 127

Cell: 8.440 8.440 3.621 Å, 90.00 90.00 90.00°
Positions (direct):
Pb (0.684, 0.184, 0.000)
Pb (0.316, 0.816, 0.000)
Pb (0.184, 0.316, 0.000)
Pb (0.816, 0.684, 0.000)
Cl (0.000, 0.000, 0.000)
Cl (0.500, 0.500, 0.000)
Ag (0.116, 0.616, 0.500)
Ag (0.884, 0.384, 0.500)
Ag (0.384, 0.116, 0.500)
Ag (0.616, 0.884, 0.500)

***

# 2
Material: Ag2PbCl
Method: DFT, PBE-GGA
State: relaxed

ΔE to the lowest computed polymorph = 81 meV per atom
E_form (uncorrected) = -85.1 meV per atom
Symmetry = No. 12

Cell: 6.424 6.424 4.940 Å, 67.52 67.52 29.75°
Positions (direct):
Cl (0.250, 0.250, 0.250)
Ag (0.492, 0.492, 0.509)
Ag (0.008, 0.008, 0.991)
Pb (0.750, 0.750, 0.750)

***

# 3
Material: Ag2PbCl
Method: DFT, PBE-GGA
State: relaxed

ΔE to the lowest computed polymorph = 158 meV per atom
E_form (uncorrected) = -8.4 meV per atom
Symmetry = No. 123

Cell: 5.456 4.173 4.173 Å, 90.00 90.00 90.00°
Positions (direct):
Ag (0.000, 0.000, 0.000)
Ag (0.000, 0.500, 0.500)
Pb (0.500, 0.000, 0.500)
Cl (0.500, 0.500, 0.000)